KSc2Ta | the Alexandria database | PBE | optimized geometry; calculated formation energy = 662 meV/atom; theoretical density = 4.351 Mg/m³; E = -22.97 eV for the cell shown; distance to the lowest polymorph of the same formula = 1.214 eV per formula unit
1.0
3.2102 0.0000 0.0000
0.0000 4.2053 0.0000
0.0000 0.0000 8.7618
K Sc Ta
1 2 1
Direct
0.0000 0.0000 0.0000
0.0000 0.0000 0.5553
0.5000 0.5000 0.3603
0.5000 0.5000 0.6888



KSc2Ta | the Alexandria database | PBE | optimized geometry; calculated formation energy = 578 meV/atom; theoretical density = 5.001 Mg/m³; E = -69.91 eV for the cell shown; distance to the lowest polymorph of the same formula = 0.879 eV per formula unit
1.0
3.1669 0.0000 0.0000
-1.5835 2.7426 0.0000
0.0000 0.0000 35.5510
K Sc Ta
3 6 3
Direct
0.0000 0.0000 0.0000
0.3333 0.6667 0.6667
0.6667 0.3333 0.3333
0.0000 0.0000 0.2342
0.0000 0.0000 0.4897
0.3333 0.6667 0.1564
0.3333 0.6667 0.9008
0.6667 0.3333 0.5675
0.6667 0.3333 0.8230
0.0000 0.0000 0.7570
0.3333 0.6667 0.4237
0.6667 0.3333 0.0904



KSc2Ta | the Alexandria database | PBE | optimized geometry; calculated formation energy = 358 meV/atom; theoretical density = 4.593 Mg/m³; E = -24.18 eV for the cell shown; distance to the lowest polymorph of the same formula = 0.000 eV per formula unit
1.0
3.1800 0.0000 0.0000
0.0000 3.1845 0.0000
-0.0808 0.0000 11.0669
K Sc Ta
1 2 1
Direct
0.0000 0.0000 0.0000
0.4950 0.5000 0.3201
0.5050 0.5000 0.6799
0.0000 0.0000 0.5000



KSc2Ta | the Alexandria database | PBE | optimized geometry; calculated formation energy = 860 meV/atom; theoretical density = 4.708 Mg/m³; E = -44.35 eV for the cell shown; distance to the lowest polymorph of the same formula = 2.007 eV per formula unit
1.0
3.0786 0.0000 0.0000
0.0000 6.3231 0.0000
0.0000 0.0000 11.2321
K Sc Ta
2 4 2
Direct
0.0000 0.0000 0.0000
0.5000 0.5000 0.5000
0.0000 0.5000 0.2120
0.0000 0.5000 0.7880
0.5000 0.0000 0.2880
0.5000 0.0000 0.7120
0.0000 0.0000 0.5000
0.5000 0.5000 0.0000



KSc2Ta | the Alexandria database | PBE | optimized geometry; calculated formation energy = 1154 meV/atom; theoretical density = 5.052 Mg/m³; E = -83.99 eV for the cell shown; distance to the lowest polymorph of the same formula = 3.184 eV per formula unit
1.0
7.4137 0.0000 0.0000
0.0000 7.4137 0.0000
0.0000 0.0000 7.4137
K Sc Ta
4 8 4
Direct
0.0000 0.0000 0.0000
0.0000 0.5000 0.5000
0.5000 0.0000 0.5000
0.5000 0.5000 0.0000
0.0000 0.0000 0.5000
0.0000 0.5000 0.0000
0.2500 0.2500 0.7500
0.2500 0.7500 0.2500
0.5000 0.0000 0.0000
0.5000 0.5000 0.5000
0.7500 0.2500 0.2500
0.7500 0.7500 0.7500
0.2500 0.2500 0.2500
0.2500 0.7500 0.7500
0.7500 0.2500 0.7500
0.7500 0.7500 0.2500



KSc4Ta | the Alexandria database | PBE | optimized geometry; calculated formation energy = 886 meV/atom; theoretical density = 4.228 Mg/m³; E = -32.96 eV for the cell shown
1.0
0.0000 4.2821 4.2821
4.2821 0.0000 4.2821
4.2821 4.2821 0.0000
K Sc Ta
1 4 1
Direct
0.0000 0.0000 0.0000
0.1397 0.6201 0.6201
0.6201 0.1397 0.6201
0.6201 0.6201 0.1397
0.6201 0.6201 0.6201
0.2500 0.2500 0.2500



KSc2Ta | the Alexandria database | PBE | optimized geometry; calculated formation energy = 798 meV/atom; theoretical density = 4.885 Mg/m³; E = -67.26 eV for the cell shown; distance to the lowest polymorph of the same formula = 1.760 eV per formula unit
1.0
3.1455 0.0000 0.0000
-1.5728 2.7241 0.0000
0.0000 0.0000 36.8857
K Sc Ta
3 6 3
Direct
0.0000 0.0000 0.0000
0.3333 0.6667 0.6667
0.6667 0.3333 0.3333
0.0000 0.0000 0.4262
0.0000 0.0000 0.5738
0.3333 0.6667 0.0929
0.3333 0.6667 0.2404
0.6667 0.3333 0.7596
0.6667 0.3333 0.9071
0.0000 0.0000 0.5000
0.3333 0.6667 0.1667
0.6667 0.3333 0.8333



KSc2Ta | the Alexandria database | PBE | optimized geometry; calculated formation energy = 1078 meV/atom; theoretical density = 5.074 Mg/m³; E = -21.30 eV for the cell shown; distance to the lowest polymorph of the same formula = 2.881 eV per formula unit
1.0
3.0976 0.0000 0.0000
0.0000 5.5068 0.0000
0.0000 0.0000 5.9473
K Sc Ta
1 2 1
Direct
0.0000 0.0000 0.0000
0.0000 0.5000 0.5000
0.5000 0.5000 0.0000
0.5000 0.0000 0.5000



KSc2Ta | the Alexandria database | PBE | optimized geometry; calculated formation energy = 998 meV/atom; theoretical density = 5.184 Mg/m³; E = -86.48 eV for the cell shown; distance to the lowest polymorph of the same formula = 2.561 eV per formula unit
1.0
7.3503 0.0000 0.0000
0.0000 7.3503 0.0000
0.0000 0.0000 7.3503
K Sc Ta
4 8 4
Direct
0.0000 0.0000 0.0000
0.0000 0.5000 0.5000
0.5000 0.0000 0.5000
0.5000 0.5000 0.0000
0.2500 0.2500 0.2500
0.2500 0.2500 0.7500
0.2500 0.7500 0.2500
0.2500 0.7500 0.7500
0.7500 0.2500 0.2500
0.7500 0.2500 0.7500
0.7500 0.7500 0.2500
0.7500 0.7500 0.7500
0.0000 0.0000 0.5000
0.0000 0.5000 0.0000
0.5000 0.0000 0.0000
0.5000 0.5000 0.5000



KSc3Ta | the Alexandria database | PBE | optimized geometry; calculated formation energy = 715 meV/atom; theoretical density = 3.794 Mg/m³; E = -28.37 eV for the cell shown; distance to the lowest polymorph of the same formula = 0.000 eV per formula unit
1.0
5.3755 0.0000 0.0000
0.0000 5.3755 0.0000
0.0000 0.0000 5.3755
K Sc Ta
1 3 1
Direct
0.0000 0.0000 0.0000
0.0000 0.5000 0.5000
0.5000 0.0000 0.5000
0.5000 0.5000 0.0000
0.5000 0.5000 0.5000



K4ScTa | the Alexandria database | PBE | optimized geometry; calculated formation energy = 1373 meV/atom; theoretical density = 2.646 Mg/m³; E = -14.34 eV for the cell shown
1.0
0.0000 4.9320 4.9320
4.9320 0.0000 4.9320
4.9320 4.9320 0.0000
K Sc Ta
4 1 1
Direct
0.3764 0.3764 0.3764
0.3764 0.3764 0.8709
0.3764 0.8709 0.3764
0.8709 0.3764 0.3764
0.0000 0.0000 0.0000
0.7500 0.7500 0.7500



KSc2Ta | the Alexandria database | PBE | optimized geometry; calculated formation energy = 1521 meV/atom; theoretical density = 3.002 Mg/m³; E = -78.12 eV for the cell shown; distance to the lowest polymorph of the same formula = 4.651 eV per formula unit
1.0
6.7798 0.0000 0.0000
0.0000 6.7798 0.0000
0.0000 0.0000 14.9202
K Sc Ta
4 8 4
Direct
0.0000 0.2500 0.3750
0.0000 0.7500 0.6250
0.5000 0.2500 0.1250
0.5000 0.7500 0.8750
0.0000 0.0000 0.0000
0.0000 0.5000 0.0000
0.2500 0.2500 0.7500
0.2500 0.7500 0.2500
0.5000 0.0000 0.5000
0.5000 0.5000 0.5000
0.7500 0.2500 0.7500
0.7500 0.7500 0.2500
0.0000 0.2500 0.8750
0.0000 0.7500 0.1250
0.5000 0.2500 0.6250
0.5000 0.7500 0.3750



KSc3Ta | the Alexandria database | PBE | optimized geometry; calculated formation energy = 1628 meV/atom; theoretical density = 5.315 Mg/m³; E = -23.81 eV for the cell shown; distance to the lowest polymorph of the same formula = 4.562 eV per formula unit
1.0
4.8043 0.0000 0.0000
0.0000 4.8043 0.0000
0.0000 0.0000 4.8043
K Sc Ta
1 3 1
Direct
0.0000 0.0000 0.0000
0.0000 0.0000 0.5000
0.0000 0.5000 0.0000
0.5000 0.0000 0.0000
0.5000 0.5000 0.5000



KSc2Ta | the Alexandria database | PBE | optimized geometry; calculated formation energy = 448 meV/atom; theoretical density = 4.850 Mg/m³; E = -71.47 eV for the cell shown; distance to the lowest polymorph of the same formula = 0.358 eV per formula unit
1.0
3.2335 0.0000 0.0000
-1.6167 2.8003 0.0000
0.0000 0.0000 35.1637
K Sc Ta
3 6 3
Direct
0.0000 0.0000 0.0000
0.3333 0.6667 0.6667
0.6667 0.3333 0.3333
0.0000 0.0000 0.2334
0.0000 0.0000 0.7666
0.3333 0.6667 0.4333
0.3333 0.6667 0.9000
0.6667 0.3333 0.1000
0.6667 0.3333 0.5667
0.0000 0.0000 0.5000
0.3333 0.6667 0.1667
0.6667 0.3333 0.8333



KScTaTl2 | the Alexandria database | PBE | optimized geometry; calculated formation energy = 1968 meV/atom; theoretical density = 7.572 Mg/m³; E = -14.17 eV for the cell shown
1.0
5.4177 0.0000 0.0000
0.0000 5.4177 0.0000
0.0000 0.0000 5.0339
K Sc Ta Tl
1 1 1 2
Direct
0.0000 0.0000 0.0000
0.0000 0.0000 0.5000
0.5000 0.5000 0.5000
0.0000 0.5000 0.0000
0.5000 0.0000 0.0000



KTb2Sc | the Alexandria database | PBE | optimized geometry; calculated formation energy = 250 meV/atom; theoretical density = 4.820 Mg/m³; E = -47.07 eV for the cell shown
1.0
3.5184 0.0000 0.0000
-1.7592 3.0470 0.0000
0.0000 0.0000 38.7458
K Tb Sc
3 6 3
Direct
0.0000 0.0000 0.0000
0.3333 0.6667 0.6667
0.6667 0.3333 0.3333
0.0000 0.0000 0.0985
0.0000 0.0000 0.9015
0.3333 0.6667 0.5682
0.3333 0.6667 0.7651
0.6667 0.3333 0.2349
0.6667 0.3333 0.4318
0.0000 0.0000 0.5000
0.3333 0.6667 0.1667
0.6667 0.3333 0.8333



K4Tb3ScTe8 | the Alexandria database | PBE | optimized geometry; theoretical density = 4.965 Mg/m³; E = -71.51 eV for the cell shown; raw formation energy = -1.360 eV per atom
1.0
4.4628 2.5766 8.2354
-4.4628 2.5766 8.2354
0.0000 -5.1532 8.2354
K Tb Sc Te
4 3 1 8
Direct
0.0000 0.0000 0.0000
0.0000 0.5000 0.5000
0.5000 0.0000 0.5000
0.5000 0.5000 0.0000
0.0000 0.0000 0.5000
0.0000 0.5000 0.0000
0.5000 0.0000 0.0000
0.5000 0.5000 0.5000
0.2370 0.2370 0.2370
0.2458 0.7294 0.7294
0.2706 0.2706 0.7542
0.2706 0.7542 0.2706
0.7294 0.2458 0.7294
0.7294 0.7294 0.2458
0.7542 0.2706 0.2706
0.7630 0.7630 0.7630



K3Tb3ScTe8 | the Alexandria database | PBE | optimized geometry; theoretical density = 4.896 Mg/m³; E = -67.99 eV for the cell shown; raw formation energy = -1.290 eV per atom
1.0
4.3568 2.5154 8.5623
-4.3568 2.5154 8.5623
0.0000 -5.0308 8.5623
K Tb Sc Te
3 3 1 8
Direct
0.0000 0.5000 0.5000
0.5000 0.0000 0.5000
0.5000 0.5000 0.0000
0.0000 0.0000 0.5000
0.0000 0.5000 0.0000
0.5000 0.0000 0.0000
0.5000 0.5000 0.5000
0.2370 0.2370 0.2370
0.2456 0.7286 0.7286
0.2714 0.2714 0.7544
0.2714 0.7544 0.2714
0.7286 0.2456 0.7286
0.7286 0.7286 0.2456
0.7544 0.2714 0.2714
0.7630 0.7630 0.7630



K2TbScTe4 | the Alexandria database | PBE | optimized geometry; theoretical density = 4.744 Mg/m³; E = -36.29 eV for the cell shown; raw formation energy = -1.321 eV per atom
1.0
7.6476 0.0000 0.0000
0.0000 4.4140 0.0000
-2.5482 0.0000 8.2167
K Tb Sc Te
2 1 1 4
Direct
0.0000 0.0000 0.0000
0.5000 0.5000 0.0000
0.0000 0.5000 0.5000
0.5000 0.0000 0.5000
0.2465 0.0000 0.7066
0.2773 0.5000 0.2995
0.7227 0.5000 0.7005
0.7535 0.0000 0.2934



K3Tb2ScTe6 | the Alexandria database | PBE | optimized geometry; theoretical density = 4.895 Mg/m³; E = -53.92 eV for the cell shown; raw formation energy = -1.349 eV per atom
1.0
3.8503 -6.6708 0.0000
3.8503 6.6708 0.0000
-2.5699 0.0000 8.2262
K Tb Sc Te
3 2 1 6
Direct
0.0000 0.0000 0.0000
0.3300 0.6700 0.0000
0.6700 0.3300 0.0000
0.1661 0.8339 0.5000
0.8339 0.1661 0.5000
0.5000 0.5000 0.5000
0.1103 0.4319 0.2951
0.2476 0.2476 0.7061
0.4319 0.1103 0.2951
0.5681 0.8897 0.7049
0.7524 0.7524 0.2939
0.8897 0.5681 0.7049